No. 1
A relaxed YCr2Cd crystal, computed with PBEsol.

The calculation puts the magnetization at 0.45 μB/f.u. The calculation puts the total DFT energy (no corrections) at -6.75 eV/atom. The value obtained for the formation energy is 0.38 eV per atom.

Geometry as CIF:
```
data_YCr2Cd
_cell_length_a 6.718
_cell_length_b 6.718
_cell_length_c 6.718
_cell_angle_alpha 90.00
_cell_angle_beta 90.00
_cell_angle_gamma 90.00
_space_group_name_H-M_alt 'F -4 3 m'
_space_group_IT_number 216
_space_group_name_Hall 'F -4 2 3'
loop_
_atom_site_label
_atom_site_type_symbol
_atom_site_fract_x
_atom_site_fract_y
_atom_site_fract_z
Y1 Y 0.000 0.000 0.000
Cr1 Cr 0.000 0.000 0.500
Cr2 Cr 0.250 0.250 0.250
Cd1 Cd 0.250 0.250 0.750
```



No. 2
A relaxed NiAgPt4 crystal, computed with PBEsol.

The calculation puts the magnetization at 1.00 μB/f.u. The calculation puts the total DFT energy (no corrections) at -5.92 eV/atom. The value obtained for the formation energy is 0.30 eV per atom.

Geometry as CIF:
```
data_NiAgPt4
_cell_length_a 7.294
_cell_length_b 7.294
_cell_length_c 7.294
_cell_angle_alpha 90.00
_cell_angle_beta 90.00
_cell_angle_gamma 90.00
_space_group_name_H-M_alt 'F -4 3 m'
_space_group_IT_number 216
_space_group_name_Hall 'F -4 2 3'
loop_
_atom_site_label
_atom_site_type_symbol
_atom_site_fract_x
_atom_site_fract_y
_atom_site_fract_z
Ni1 Ni 0.000 0.000 0.000
Ag1 Ag 0.250 0.250 0.750
Pt1 Pt 0.125 0.125 0.375
```



No. 3
A relaxed CaSc2Se crystal, computed with PBEsol.

The formation energy from raw total energies is -0.34 eV per atom. The calculation puts the magnetization at 0.91 μB/f.u. The calculation puts the total DFT energy (no corrections) at -5.14 eV/atom.

Geometry as CIF:
```
data_CaSc2Se
_cell_length_a 4.239
_cell_length_b 4.239
_cell_length_c 10.035
_cell_angle_alpha 90.00
_cell_angle_beta 90.00
_cell_angle_gamma 90.00
_space_group_name_H-M_alt 'I -4 m 2'
_space_group_IT_number 119
_space_group_name_Hall 'I -4 -2'
loop_
_atom_site_label
_atom_site_type_symbol
_atom_site_fract_x
_atom_site_fract_y
_atom_site_fract_z
Ca1 Ca 0.000 0.000 0.000
Sc1 Sc 0.000 0.000 0.500
Sc2 Sc 0.000 0.500 0.250
Se1 Se 0.000 0.500 0.750
```